No. 1
First-principles (SCAN) data for a PBEsol-optimized structure of NaTc3P, as listed in the Alexandria database.

POSCAR file:
```
NaTc3P
1.0
-3.591 -2.281 -1.145
2.214 -3.768 0.564
-1.271 -0.115 4.217
Tc Na P
3 1 1
direct
0.000 0.500 0.000
0.500 0.000 0.000
0.000 0.000 0.500
0.000 0.000 0.000
0.500 0.500 0.500
```

Summary:
Magnetization ... 5.4 μB per formula unit
Density of states at the Fermi level ... 0.695 states/eV per atom
Total DFT energy (no corrections) ... -21.274 eV/atom
Space group ... Pm-3m (221)
Distance to the lowest polymorph of the same formula ... 1.9881 eV/atom
ΔH_f (0 K) ... 2.6843 eV per atom



No. 2
First-principles (SCAN) data for a PBEsol-optimized structure of Na2TeP2, as listed in the Alexandria database.

POSCAR file:
```
Na2TeP2
1.0
-2.144 -4.939 -1.272
5.484 0.245 0.689
-1.250 2.063 4.979
Na P Te
2 2 1
direct
0.500 0.250 0.750
0.500 0.750 0.250
0.000 0.640 0.640
0.000 0.360 0.360
0.000 0.000 0.000
```

Summary:
Magnetization ... 0.0 μB per formula unit
Density of states at the Fermi level ... 0.367 states/eV per atom
Total DFT energy (no corrections) ... -13.450 eV/atom
Space group ... I4/mmm (139)



No. 3
First-principles (SCAN) data for a PBEsol-optimized structure of NaTiP2, as listed in the Alexandria database.

POSCAR file:
```
NaTiP2
1.0
4.463 0.000 0.000
2.231 3.865 0.000
2.231 1.288 3.644
P Ti Na
2 1 1
direct
0.250 0.250 0.250
0.750 0.750 0.750
0.500 0.500 0.500
0.000 0.000 0.000
```

Summary:
Magnetization ... 0.0 μB per formula unit
Density of states at the Fermi level ... 0.412 states/eV per atom
Total DFT energy (no corrections) ... -10.515 eV/atom
Space group ... Fm-3m (225)
ΔH_f (0 K) ... -0.2546 eV per atom



No. 4
First-principles (SCAN) data for a PBEsol-optimized structure of NaPW3, as listed in the Alexandria database.

POSCAR file:
```
NaPW3
1.0
4.491 0.000 0.000
0.000 4.491 0.000
0.000 0.000 4.491
Na P W
1 1 3
direct
0.500 0.500 0.500
0.000 0.000 0.000
0.500 0.000 0.000
0.000 0.000 0.500
0.000 0.500 0.000
```

Summary:
Magnetization ... 0.0 μB per formula unit
Density of states at the Fermi level ... 1.373 states/eV per atom
Total DFT energy (no corrections) ... -43.404 eV/atom
Space group ... Pm-3m (221)
ΔH_f (0 K) ... 1.3319 eV per atom



No. 5
First-principles (SCAN) data for a PBEsol-optimized structure of NaP2W2, as listed in the Alexandria database.

POSCAR file:
```
NaP2W2
1.0
4.578 0.000 0.000
-2.289 4.811 0.026
0.000 -2.200 4.015
P W Na
2 2 1
direct
0.750 0.500 0.250
0.250 0.500 0.750
0.362 0.723 0.362
0.638 0.277 0.638
0.000 0.000 0.000
```

Summary:
Magnetization ... 0.0 μB per formula unit
Density of states at the Fermi level ... 0.438 states/eV per atom
Total DFT energy (no corrections) ... -32.728 eV/atom
Space group ... I4/mmm (139)
ΔH_f (0 K) ... 0.1493 eV per atom



No. 6
First-principles (SCAN) data for a PBEsol-optimized structure of Na6P4W, as listed in the Alexandria database.

POSCAR file:
```
Na6P4W
1.0
7.091 0.000 0.000
0.000 9.082 0.000
0.000 -4.541 7.865
Na W P
12 2 8
direct
0.392 0.532 0.064
0.392 0.936 0.468
0.214 0.147 0.853
0.214 0.706 0.853
0.714 0.853 0.706
0.714 0.294 0.147
0.892 0.468 0.936
0.714 0.853 0.147
0.892 0.064 0.532
0.392 0.532 0.468
0.214 0.147 0.294
0.892 0.468 0.532
0.505 0.333 0.667
0.005 0.667 0.333
0.107 0.388 0.194
0.681 0.667 0.333
0.181 0.333 0.667
0.607 0.194 0.806
0.607 0.612 0.806
0.107 0.806 0.612
0.107 0.806 0.194
0.607 0.194 0.388
```

Summary:
Magnetization ... 0.0 μB per formula unit
Density of states at the Fermi level ... 0.000 states/eV per atom
Total DFT energy (no corrections) ... -12.936 eV/atom
Space group ... P6_3mc (186)
ΔH_f (0 K) ... -0.5202 eV per atom